{"formula": "LaSiAs2", "functional": "PBE", "state": "optimized geometry", "lattice": [[-3.802, -0.074, -0.657], [0.203, -3.781, -0.747], [-0.965, -1.182, 5.719]], "species": ["As", "As", "Si", "La"], "frac_coords": [[0.000, 0.000, 0.967], [0.000, 0.000, 0.533], [0.500, 0.500, 0.750], [0.500, 0.500, 0.250]], "e_tot_ev_per_atom": -5.3014, "dos_at_fermi_per_ev_cell": 1.42, "space_group": "P4/mmm", "mass_density_g_cm3": 5.967}

{"formula": "LaSiAs", "functional": "PBE", "state": "optimized geometry", "lattice": [[5.783, -0.009, 0.010], [4.674, 3.406, 0.007], [1.109, 0.363, 3.395]], "species": ["Si", "As", "La"], "frac_coords": [[0.373, 0.373, 0.627], [0.962, 0.962, 0.038], [0.666, 0.666, 0.334]], "e_tot_ev_per_atom": -5.4921, "dos_at_fermi_per_ev_cell": 2.10, "space_group": "I4mm", "mass_density_g_cm3": 5.998}

{"formula": "LaSiAs2", "functional": "PBE", "state": "optimized geometry", "lattice": [[3.939, 0.000, 0.000], [0.000, 3.938, 0.000], [0.000, 0.000, 6.188]], "species": ["As", "As", "La", "Si"], "frac_coords": [[0.500, 0.500, 0.262], [0.000, 0.000, 0.925], [0.000, 0.000, 0.445], [0.500, 0.500, 0.869]], "e_tot_ev_per_atom": -5.3189, "dos_at_fermi_per_ev_cell": 2.01, "space_group": "P4mm", "mass_density_g_cm3": 5.482}

{"formula": "La2SiSnAs", "functional": "PBE", "state": "optimized geometry", "lattice": [[6.048, 0.000, 0.000], [0.000, 4.806, 0.000], [0.000, 0.000, 6.048]], "species": ["La", "La", "Si", "As", "Sn"], "frac_coords": [[0.500, 0.000, 0.000], [0.000, 0.000, 0.500], [0.000, 0.500, 0.000], [0.500, 0.500, 0.500], [0.000, 0.000, 0.000]], "e_tot_ev_per_atom": -4.6119, "dos_at_fermi_per_ev_cell": 5.48, "space_group": "P4/mmm", "mass_density_g_cm3": 4.719}

{"formula": "La8SiTe4As3", "functional": "PBE", "state": "optimized geometry", "lattice": [[-0.614, -1.208, 8.795], [-8.397, -3.223, -1.029], [6.695, -3.705, -4.543]], "species": ["La", "La", "La", "La", "La", "La", "La", "La", "Si", "Te", "Te", "Te", "Te", "As", "As", "As"], "frac_coords": [[0.760, 0.276, 0.016], [0.259, 0.276, 0.517], [0.255, 0.276, 0.016], [0.741, 0.724, 0.483], [0.240, 0.724, 0.480], [0.240, 0.724, 0.984], [0.760, 0.276, 0.520], [0.745, 0.724, 0.984], [0.000, 0.500, 0.000], [0.500, 0.000, 0.000], [0.000, 0.000, 0.500], [0.000, 0.000, 0.000], [0.500, 0.000, 0.500], [0.500, 0.500, 0.000], [0.500, 0.500, 0.500], [0.000, 0.500, 0.500]], "e_tot_ev_per_atom": -6.0050, "dos_at_fermi_per_ev_cell": 5.37, "space_group": "R-3m", "mass_density_g_cm3": 6.089}

{"formula": "La4SiTe2As", "functional": "PBE", "state": "optimized geometry", "lattice": [[-2.729, -1.821, 3.020], [6.099, -2.067, 4.266], [-2.360, 7.189, 2.202]], "species": ["Te", "Te", "As", "La", "La", "La", "La", "Si"], "frac_coords": [[0.500, 0.000, 0.500], [0.000, 0.500, 0.500], [0.000, 0.000, 0.000], [0.000, 0.261, 0.775], [0.500, 0.244, 0.224], [0.000, 0.739, 0.225], [0.500, 0.756, 0.776], [0.500, 0.500, 0.000]], "e_tot_ev_per_atom": -5.9379, "dos_at_fermi_per_ev_cell": 2.03, "space_group": "P2/m", "mass_density_g_cm3": 5.914}

{"formula": "LaTiSi2As", "functional": "PBE", "state": "optimized geometry", "lattice": [[-3.645, 3.546, -1.515], [-3.774, -2.855, 2.398], [0.750, 2.596, 4.271]], "species": ["La", "Si", "Si", "Ti", "As"], "frac_coords": [[0.000, 0.000, 0.000], [0.500, 0.000, 0.000], [0.000, 0.500, 0.000], [0.000, 0.000, 0.500], [0.500, 0.500, 0.500]], "e_tot_ev_per_atom": -4.0615, "dos_at_fermi_per_ev_cell": 5.02, "space_group": "P4/mmm", "mass_density_g_cm3": 3.710}

{"formula": "La2Sm2As5", "functional": "PBE", "state": "optimized geometry", "lattice": [[-1.241, 5.186, 5.727], [-4.681, -5.996, 4.415], [8.652, 1.496, 0.521]], "species": ["La", "La", "La", "La", "As", "As", "As", "As", "As", "As", "As", "As", "As", "As", "Sm", "Sm", "Sm", "Sm"], "frac_coords": [[0.000, 0.187, 0.813], [0.500, 0.313, 0.687], [0.000, 0.813, 0.187], [0.500, 0.687, 0.313], [0.380, 0.015, 0.744], [0.620, 0.256, 0.985], [0.620, 0.985, 0.256], [0.000, 0.000, 0.000], [0.500, 0.500, 0.500], [0.120, 0.244, 0.515], [0.120, 0.515, 0.244], [0.880, 0.756, 0.485], [0.880, 0.485, 0.756], [0.380, 0.744, 0.015], [0.331, 0.168, 0.168], [0.831, 0.332, 0.332], [0.169, 0.668, 0.668], [0.669, 0.832, 0.832]], "dos_at_fermi_per_ev_cell": 10.86, "space_group": "Cmce", "formation_energy_ev_per_atom": -1.226, "mass_density_g_cm3": 6.598}

{"formula": "LaSm4As5", "functional": "PBE", "state": "optimized geometry", "lattice": [[-1.133, -0.252, -4.088], [5.735, -0.914, -1.534], [-3.695, -9.893, 3.843]], "species": ["Sm", "Sm", "Sm", "Sm", "As", "As", "As", "As", "As", "La"], "frac_coords": [[0.601, 0.601, 0.202], [0.399, 0.399, 0.798], [0.201, 0.201, 0.403], [0.799, 0.799, 0.597], [0.397, 0.897, 0.794], [0.000, 0.500, 0.000], [0.200, 0.700, 0.399], [0.603, 0.103, 0.206], [0.800, 0.300, 0.601], [0.000, 0.000, 0.000]], "dos_at_fermi_per_ev_cell": 1.53, "space_group": "Immm", "formation_energy_ev_per_atom": -1.532, "mass_density_g_cm3": 6.831}

{"formula": "La5SmAs6", "functional": "PBE", "state": "optimized geometry", "lattice": [[0.282, 5.930, 4.639], [6.524, -0.067, 3.771], [6.025, 3.526, -2.833]], "species": ["La", "La", "La", "La", "La", "As", "As", "As", "As", "As", "As", "Sm"], "frac_coords": [[0.500, 0.500, 0.000], [0.000, 0.666, 0.667], [0.500, 0.833, 0.334], [0.000, 0.334, 0.333], [0.500, 0.167, 0.666], [0.247, 0.918, 0.671], [0.752, 0.754, 0.000], [0.248, 0.246, 0.000], [0.753, 0.412, 0.671], [0.247, 0.588, 0.329], [0.753, 0.082, 0.329], [0.000, 0.000, 0.000]], "dos_at_fermi_per_ev_cell": 0.63, "space_group": "C2/m", "formation_energy_ev_per_atom": -1.565, "mass_density_g_cm3": 6.155}

{"formula": "LaSm2As3", "functional": "PBE", "state": "optimized geometry", "lattice": [[-2.507, 2.227, 2.648], [1.032, -4.036, 4.371], [5.805, 4.302, -1.570]], "species": ["As", "As", "As", "Sm", "Sm", "La"], "frac_coords": [[0.329, 0.329, 0.659], [0.000, 0.000, 0.000], [0.671, 0.671, 0.341], [0.334, 0.834, 0.667], [0.666, 0.166, 0.333], [0.000, 0.500, 0.000]], "dos_at_fermi_per_ev_cell": 0.65, "space_group": "Immm", "formation_energy_ev_per_atom": -1.538, "mass_density_g_cm3": 6.679}

{"formula": "La3SmAs4", "functional": "PBE", "state": "optimized geometry", "lattice": [[-0.017, 0.500, -4.310], [-3.642, -6.524, -0.743], [-4.980, 5.580, 0.667]], "species": ["As", "As", "As", "As", "La", "La", "La", "Sm"], "frac_coords": [[0.500, 0.247, 0.753], [0.000, 0.245, 0.245], [0.000, 0.755, 0.755], [0.500, 0.753, 0.247], [0.000, 0.000, 0.500], [0.500, 0.500, 0.500], [0.000, 0.500, 0.000], [0.500, 0.000, 0.000]], "dos_at_fermi_per_ev_cell": 0.66, "space_group": "Cmmm", "formation_energy_ev_per_atom": -1.559, "mass_density_g_cm3": 6.239}

{"formula": "LaSmAs2", "functional": "PBE", "state": "optimized geometry", "lattice": [[-3.836, -1.213, -1.361], [-1.299, -3.999, 0.599], [-4.601, 0.166, 6.196]], "species": ["As", "As", "La", "Sm"], "frac_coords": [[0.084, 0.084, 0.747], [0.248, 0.248, 0.255], [0.669, 0.669, 0.992], [0.498, 0.498, 0.506]], "dos_at_fermi_per_ev_cell": 0.27, "de_polymorph_mev_per_atom": 157.9, "space_group": "R3m", "formation_energy_ev_per_atom": -1.391, "mass_density_g_cm3": 6.376}

{"formula": "La2SmAs3", "functional": "PBE", "state": "optimized geometry", "lattice": [[4.219, 0.000, -0.961], [-0.218, 4.213, -0.962], [-0.017, -0.017, 9.664]], "species": ["La", "La", "As", "As", "As", "Sm"], "frac_coords": [[0.100, 0.101, 0.205], [0.769, 0.770, 0.543], [0.599, 0.600, 0.203], [0.270, 0.271, 0.545], [0.934, 0.936, 0.874], [0.434, 0.436, 0.874]], "dos_at_fermi_per_ev_cell": 0.82, "space_group": "I4/mmm", "formation_energy_ev_per_atom": -1.549, "mass_density_g_cm3": 6.317}

{"formula": "LaSmAs2", "functional": "PBE", "state": "optimized geometry", "lattice": [[4.297, 0.013, 0.015], [2.137, 3.728, 0.015], [2.122, 1.234, 7.021]], "species": ["As", "As", "Sm", "La"], "frac_coords": [[0.252, 0.252, 0.242], [0.748, 0.748, 0.758], [0.000, 0.000, 0.000], [0.500, 0.500, 0.500]], "dos_at_fermi_per_ev_cell": 0.50, "de_polymorph_mev_per_atom": 0.0, "space_group": "R-3m", "formation_energy_ev_per_atom": -1.549, "mass_density_g_cm3": 6.503}

{"formula": "La2SmAs", "functional": "PBE", "state": "optimized geometry", "lattice": [[-2.542, -3.010, -1.004], [1.477, -3.619, -1.118], [-0.539, -5.138, 8.530]], "species": ["La", "La", "As", "Sm"], "frac_coords": [[0.064, 0.064, 0.809], [0.270, 0.270, 0.190], [0.667, 0.667, 0.000], [0.500, 0.500, 0.501]], "dos_at_fermi_per_ev_cell": 5.76, "space_group": "R3m", "formation_energy_ev_per_atom": -0.611, "mass_density_g_cm3": 6.022}

{"formula": "La5Sm3As8", "functional": "PBE", "state": "optimized geometry", "lattice": [[7.492, 0.000, 4.291], [2.517, 7.056, 4.291], [0.029, 0.020, 8.635]], "species": ["La", "La", "La", "La", "La", "Sm", "Sm", "Sm", "As", "As", "As", "As", "As", "As", "As", "As"], "frac_coords": [[0.500, 0.500, 0.000], [0.000, 0.000, 0.000], [0.500, 0.500, 0.500], [0.500, 0.000, 0.000], [0.000, 0.500, 0.000], [0.500, 0.000, 0.500], [0.000, 0.000, 0.500], [0.000, 0.500, 0.500], [0.250, 0.250, 0.745], [0.755, 0.250, 0.745], [0.248, 0.248, 0.257], [0.250, 0.755, 0.745], [0.750, 0.245, 0.255], [0.752, 0.752, 0.743], [0.245, 0.750, 0.255], [0.750, 0.750, 0.255]], "dos_at_fermi_per_ev_cell": 3.04, "space_group": "R-3m", "formation_energy_ev_per_atom": -1.552, "mass_density_g_cm3": 6.366}

{"formula": "SrLa2SmAs4", "functional": "PBE", "state": "optimized geometry", "lattice": [[4.360, 0.000, 0.000], [0.000, 7.511, -0.129], [0.000, 2.662, 7.108]], "species": ["La", "La", "Sm", "As", "As", "As", "As", "Sr"], "frac_coords": [[0.500, 0.000, 0.500], [0.000, 0.000, 0.000], [0.000, 0.500, 0.500], [0.000, 0.755, 0.739], [0.000, 0.245, 0.261], [0.500, 0.748, 0.258], [0.500, 0.252, 0.742], [0.500, 0.500, 0.000]], "dos_at_fermi_per_ev_cell": 5.84, "space_group": "P2/m", "formation_energy_ev_per_atom": -1.366, "mass_density_g_cm3": 5.780}

{"formula": "SrLaSm2As4", "functional": "PBE", "state": "optimized geometry", "lattice": [[-3.863, -0.682, 1.768], [3.262, -3.649, 5.717], [1.623, 4.857, 5.418]], "species": ["La", "As", "As", "As", "As", "Sr", "Sm", "Sm"], "frac_coords": [[0.000, 0.500, 0.500], [0.000, 0.234, 0.260], [0.500, 0.239, 0.750], [0.500, 0.762, 0.250], [0.000, 0.766, 0.740], [0.500, 0.500, 0.000], [0.500, 0.000, 0.500], [0.000, 0.000, 0.000]], "dos_at_fermi_per_ev_cell": 4.84, "space_group": "P2/m", "formation_energy_ev_per_atom": -1.365, "mass_density_g_cm3": 6.026}

{"formula": "LaTb2Sm3As6", "functional": "PBE", "state": "optimized geometry", "lattice": [[-2.572, 6.673, -1.492], [-3.389, -4.204, 4.919], [5.945, 1.817, 3.841]], "species": ["Sm", "Sm", "Sm", "As", "As", "As", "As", "As", "As", "Tb", "Tb", "La"], "frac_coords": [[0.835, 0.165, 0.500], [0.500, 0.500, 0.500], [0.165, 0.835, 0.500], [0.257, 0.257, 0.751], [0.577, 0.917, 0.750], [0.083, 0.423, 0.250], [0.917, 0.577, 0.750], [0.423, 0.083, 0.250], [0.743, 0.743, 0.249], [0.667, 0.333, 0.000], [0.333, 0.667, 0.000], [0.000, 0.000, 0.000]], "dos_at_fermi_per_ev_cell": 1.54, "space_group": "C2/m", "formation_energy_ev_per_atom": -1.532, "mass_density_g_cm3": 7.079}

| no. | total magnetic moment (μB per atom) |
| --- | --- |
| 1 | 0.00 |
| 2 | 0.00 |
| 3 | 0.00 |
| 4 | 0.00 |
| 5 | 0.00 |
| 6 | 0.00 |
| 7 | 0.13 |
| 8 | 0.00 |
| 9 | 0.00 |
| 10 | 0.00 |
| 11 | 0.00 |
| 12 | 0.00 |
| 13 | 0.00 |
| 14 | 0.00 |
| 15 | 0.00 |
| 16 | 0.19 |
| 17 | 0.00 |
| 18 | 0.00 |
| 19 | 0.00 |
| 20 | 0.00 |